Compound: PrNd5Sm3
Source: Alexandria via LeMat-Bulk
Functional: PBE-GGA
Structure: relaxed

Unit cell a=11.2065 b=11.2065 c=11.6831 alpha=56.55 beta=56.55 gamma=32.58
With the nearest neighbours (Å) after each atom.
Atoms (fractional coordinates):
Nd1 0.4575 0.8248 0.8695  2 Sm 3.19-3.47
Nd2 0.6241 0.0175 0.5216  5 Nd 3.43-3.73, 2 Sm 3.49-3.60, 1 Pr 3.83
Nd3 0.8248 0.4575 0.3695  2 Sm 3.19-3.47
Nd4 0.9825 0.3759 0.9784  5 Nd 3.43-3.73, 2 Sm 3.49-3.60, 1 Pr 3.83
Nd5 0.4039 0.5961 0.7500  2 Pr 3.03-3.25
Nd6 0.5425 0.1752 0.1305  2 Sm 3.19-3.47
Nd7 0.0175 0.6241 0.0216  5 Nd 3.43-3.73, 2 Sm 3.49-3.60, 1 Pr 3.83
Nd8 0.3759 0.9825 0.4784  5 Nd 3.43-3.73, 2 Sm 3.49-3.60, 1 Pr 3.83
Nd9 0.1752 0.5425 0.6305  2 Sm 3.19-3.47
Nd10 0.5961 0.4039 0.2500  2 Pr 3.03-3.25
Sm1 0.4066 0.9507 0.1714  1 Sm 3.38, 4 Nd 3.47-3.63, 1 Pr 3.48
Sm2 0.0000 0.0000 0.5000  2 Pr 3.01, 2 Nd 3.19
Sm3 0.5934 0.0493 0.8286  1 Sm 3.38, 4 Nd 3.47-3.63, 1 Pr 3.48
Sm4 0.0493 0.5934 0.3286  1 Sm 3.38, 4 Nd 3.47-3.63, 1 Pr 3.48
Sm5 0.0000 0.0000 0.0000  2 Pr 3.01, 2 Nd 3.19
Sm6 0.9507 0.4066 0.6714  1 Sm 3.38, 4 Nd 3.47-3.63, 1 Pr 3.48
Pr1 0.8862 0.1138 0.7500  2 Sm 3.01, 2 Nd 3.03-3.25
Pr2 0.1138 0.8862 0.2500  2 Sm 3.01, 2 Nd 3.03-3.25

Output
Total energy, eV per cell: -80.72
Space group: C2/c, No. 15
Energy relative to the lowest polymorph listed for this composition, meV per atom: 0
E_form, eV per atom: 0.27